TeI7: optimized geometry, PBE.

## Properties
Density of states at the Fermi level (states/eV/atom): 0.627
Raw formation energy (kJ/mol of formula units): 25
Space group: P4/nmm (129)
Crystal system: tetragonal

Cell: 11.715 11.715 8.815 Å, 90.00 90.00 90.00°
Sites, in units of the cell vectors:
Te 0.250 0.250 0.237
Te 0.750 0.750 0.763
I 0.005 0.750 0.816
I 0.250 0.250 0.544
I 0.250 0.505 0.184
I 0.250 0.750 0.255
I 0.250 0.750 0.745
I 0.250 0.995 0.184
I 0.495 0.750 0.816
I 0.505 0.250 0.184
I 0.750 0.005 0.816
I 0.750 0.250 0.255
I 0.750 0.250 0.745
I 0.750 0.495 0.816
I 0.750 0.750 0.456
I 0.995 0.250 0.184